# Li2Ho2O5 GGA-PBE relaxed
# energy above the lowest structure with this stoichiometry = 138 meV/atom
# electronic total energy = -56.6 eV/f.u.
# calculated density = 5.3 g cm⁻³
# V = 14.72 Å³ per atom
data_Li2Ho2O5
_cell_length_a 4.102
_cell_length_b 4.102
_cell_length_c 7.875
_cell_angle_alpha 90.00
_cell_angle_beta 90.00
_cell_angle_gamma 90.00
_symmetry_space_group_name_H-M 'P 4/m m m'
_symmetry_Int_Tables_number 123
_symmetry_space_group_name_Hall '-P 4 2'
loop_
_atom_site_label
_atom_site_fract_x
_atom_site_fract_y
_atom_site_fract_z
Li1 0.000 0.000 0.000
Li2 0.000 0.000 0.500
Ho1 0.500 0.500 0.230
O1 0.000 0.500 0.145
O2 0.500 0.500 0.500